Compound: SrTaBr2
Source: Alexandria
Functional: meta-GGA SCAN
Structure: single point on PBEsol structure

Unit cell a=4.1819 b=4.1819 c=6.6597 alpha=108.30 beta=108.30 gamma=90.00
Each line ends with the local moment (μB).
Positions (direct):
1 Sr 0.5000 0.5000 0.0000  0.10
2 Ta 0.2500 0.7500 0.5000  2.35
3 Br 0.7500 0.2500 0.5000  0.05
4 Br 0.0000 0.0000 0.0000  0.06

ρ (g/cm3): 6.82
Size of the total moment (μB/atom): 1.05
SG: I-4m2
Electronic total energy (eV per cell): -127.6
Uncorrected formation energy (eV/atom): 0.055

Compound: RuO4
Source: Alexandria
Functional: meta-GGA SCAN
Structure: single point on PBEsol structure

Unit cell a=4.4938 b=5.2000 c=7.9760 alpha=76.51 beta=73.64 gamma=64.40
Positions (direct):
1 O 0.3505 0.5411 0.6926
2 O 0.0815 0.6935 0.0774
3 O 0.9185 0.3065 0.9226
4 O 0.8525 0.8065 0.4226
5 O 0.6495 0.4589 0.3074
6 O 0.4157 0.0411 0.1926
7 O 0.1475 0.1935 0.5774
8 O 0.5843 0.9589 0.8074
9 Ru 0.2502 0.2500 0.7500
10 Ru 0.7498 0.7500 0.2500

ρ (g/cm3): 3.43
Size of the total moment (μB/atom): 0.00
SG: C2/c
Electronic total energy (eV per cell): -126.3
Uncorrected formation energy (eV/atom): -0.679

Compound: Sr2AgHg
Source: Alexandria
Functional: meta-GGA SCAN
Structure: single point on PBEsol structure

Unit cell a=4.3559 b=4.8173 c=6.3200 alpha=90.00 beta=110.16 gamma=90.00
Positions (direct):
1 Hg 0.6970 0.5000 0.3941
2 Sr 0.2661 0.0000 0.5321
3 Sr 0.9836 0.5000 0.9673
4 Ag 0.5532 0.0000 0.1065

ρ (g/cm3): 6.45
Energy of formation from the pure elements (meV per atom): -495
Size of the total moment (μB/atom): 0.00
SG: Amm2
Electronic total energy (eV per cell): -146.1

Compound: CaWS2
Source: Alexandria
Functional: meta-GGA SCAN
Structure: single point on PBEsol structure

Unit cell a=3.3324 b=3.3324 c=8.7674 alpha=79.04 beta=79.04 gamma=60.00
Each line ends with the local moment (μB).
Positions (direct):
1 S 0.8921 0.8921 0.3238  0.00
2 S 0.1079 0.1079 0.6762  0.00
3 Ca 0.0000 0.0000 0.0000  0.10
4 W 0.5000 0.5000 0.5000  -0.01

ρ (g/cm3): 5.81
Size of the total moment (μB/atom): 0.07
SG: R-3m
Electronic total energy (eV per cell): -100.1
Uncorrected formation energy (eV/atom): -0.374

Compound: Li2NiP2O7
Source: Alexandria
Functional: meta-GGA SCAN
Structure: single point on PBEsol structure

Unit cell a=4.9341 b=6.7288 c=8.1570 alpha=67.07 beta=88.02 gamma=88.33
Each line ends with the local moment (μB).
Positions (direct):
1 O 0.6974 0.8735 0.0082  0.03
2 O 0.5819 0.4883 0.3347  0.04
3 O 0.0816 0.9149 0.7778  0.04
4 O 0.9184 0.0851 0.2222  0.04
5 O 0.8749 0.3305 0.7778  0.04
6 O 0.1251 0.6695 0.2222  0.04
7 O 0.4041 0.9593 0.3218  0.03
8 O 0.2877 0.3591 0.1559  0.01
9 O 0.5959 0.0407 0.6782  0.03
10 O 0.1401 0.2891 0.4704  0.04
11 O 0.7123 0.6409 0.8441  0.01
12 O 0.8599 0.7109 0.5296  0.04
13 O 0.4181 0.5117 0.6653  0.04
14 O 0.3026 0.1265 0.9918  0.03
15 P 0.7173 0.5419 0.6911  0.01
16 P 0.2827 0.4581 0.3089  0.01
17 P 0.2242 0.1172 0.1775  0.01
18 P 0.7758 0.8828 0.8225  0.01
19 Li 0.7708 0.1976 0.4383  0.00
20 Li 0.2901 0.8351 0.9974  0.00
21 Li 0.2292 0.8024 0.5617  0.00
22 Li 0.7099 0.1649 0.0026  0.00
23 Ni 0.7599 0.7792 0.2784  1.75
24 Ni 0.2401 0.2208 0.7216  1.75

ρ (g/cm3): 3.29
Size of the total moment (μB/atom): 0.17
SG: P-1
Electronic total energy (eV per cell): -227.2
Uncorrected formation energy (eV/atom): -2.353

Compound: SbTe2Os
Source: Alexandria
Functional: meta-GGA SCAN
Structure: single point on PBEsol structure

Unit cell a=4.7459 b=5.0764 c=4.7459 alpha=62.13 beta=90.00 gamma=117.87
Positions (direct):
1 Te 0.2500 0.5000 0.2500
2 Te 0.0000 0.0000 0.0000
3 Sb 0.7500 0.5000 0.7500
4 Os 0.5000 0.0000 0.5000

ρ (g/cm3): 10.98
Size of the total moment (μB/atom): 0.00
SG: I-4m2
Electronic total energy (eV per cell): -179.8
Uncorrected formation energy (eV/atom): 0.964

Compound: K2ZnAgPb
Source: Alexandria
Functional: meta-GGA SCAN
Structure: single point on PBEsol structure

Unit cell a=4.8995 b=6.7030 c=6.7030 alpha=90.00 beta=90.00 gamma=90.00
Positions (direct):
1 Pb 0.0000 0.0000 0.0000
2 Ag 0.5000 0.5000 0.5000
3 K 0.0000 0.5000 0.0000
4 K 0.0000 0.0000 0.5000
5 Zn 0.5000 0.0000 0.0000

ρ (g/cm3): 3.46
Energy of formation from the pure elements (meV per atom): 324
Size of the total moment (μB/atom): 0.00
SG: P4/mmm
Electronic total energy (eV per cell): -135.7

Compound: TcMo2W
Source: Alexandria
Functional: meta-GGA SCAN
Structure: single point on PBEsol structure

Unit cell a=3.9118 b=3.9118 c=3.9767 alpha=90.00 beta=90.00 gamma=90.00
Positions (direct):
1 Tc 0.5000 0.5000 0.5000
2 W 0.0000 0.0000 0.5000
3 Mo 0.0000 0.5000 0.0000
4 Mo 0.5000 0.0000 0.0000

ρ (g/cm3): 12.93
Energy of formation from the pure elements (meV per atom): 359
Size of the total moment (μB/atom): 0.00
SG: P4/mmm
Electronic total energy (eV per cell): -173.1

Compound: Sm3SbO3
Source: Alexandria
Functional: meta-GGA SCAN
Structure: single point on PBEsol structure

Unit cell a=3.9381 b=6.9356 c=10.6404 alpha=82.05 beta=79.34 gamma=73.51
Positions (direct):
1 O 0.6615 0.6887 0.9884
2 O 0.3385 0.3113 0.0116
3 O 0.3105 0.9687 0.4104
4 O 0.6895 0.0313 0.5896
5 O 0.9358 0.9278 0.2007
6 O 0.0642 0.0722 0.7993
7 Sm 0.8709 0.3599 0.8984
8 Sm 0.8808 0.7970 0.4414
9 Sm 0.1291 0.6401 0.1016
10 Sm 0.1192 0.2030 0.5586
11 Sm 0.6549 0.8967 0.7934
12 Sm 0.3451 0.1033 0.2066
13 Sb 0.6206 0.4384 0.3204
14 Sb 0.3794 0.5616 0.6796

ρ (g/cm3): 7.56
Size of the total moment (μB/atom): 0.00
SG: C2/m
Electronic total energy (eV per cell): -421.2
Uncorrected formation energy (eV/atom): -3.044

Compound: YAsSe2Br
Source: Alexandria
Functional: meta-GGA SCAN
Structure: single point on PBEsol structure

Unit cell a=5.0589 b=4.9939 c=4.9939 alpha=90.00 beta=90.00 gamma=90.00
Positions (direct):
1 Se 0.0000 0.0000 0.5000
2 Se 0.0000 0.5000 0.0000
3 As 0.0000 0.0000 0.0000
4 Br 0.5000 0.0000 0.0000
5 Y 0.5000 0.5000 0.5000

ρ (g/cm3): 5.29
Size of the total moment (μB/atom): 0.00
SG: P4/mmm
Electronic total energy (eV per cell): -109.7
Uncorrected formation energy (eV/atom): -0.410

Compound: SrCd3Pd
Source: Alexandria
Functional: meta-GGA SCAN
Structure: single point on PBEsol structure

Unit cell a=5.1235 b=5.1235 c=5.1235 alpha=90.00 beta=90.00 gamma=90.00
Positions (direct):
1 Cd 0.0000 0.0000 0.5000
2 Cd 0.5000 0.0000 0.0000
3 Cd 0.0000 0.5000 0.0000
4 Pd 0.0000 0.0000 0.0000
5 Sr 0.5000 0.5000 0.5000

ρ (g/cm3): 6.56
Energy of formation from the pure elements (meV per atom): -282
Size of the total moment (μB/atom): 0.00
SG: Pm-3m
Electronic total energy (eV per cell): -147.7

Compound: TaB2Mo2
Source: Alexandria
Functional: meta-GGA SCAN
Structure: single point on PBEsol structure

Unit cell a=3.1543 b=6.0648 c=6.0648 alpha=90.00 beta=90.00 gamma=90.00
Positions (direct):
1 B 0.0000 0.1110 0.3890
2 B 0.0000 0.8890 0.6110
3 B 0.0000 0.3890 0.8890
4 B 0.0000 0.6110 0.1110
5 Mo 0.5000 0.8263 0.3263
6 Mo 0.5000 0.6737 0.8263
7 Mo 0.5000 0.3263 0.1737
8 Mo 0.5000 0.1737 0.6737
9 Ta 0.0000 0.5000 0.5000
10 Ta 0.0000 0.0000 0.0000

ρ (g/cm3): 11.29
Energy of formation from the pure elements (meV per atom): -464
Size of the total moment (μB/atom): 0.00
SG: P4/mbm
Electronic total energy (eV per cell): -307.1